Computed, not measured: a relaxed structure of KBa2NaCd at the PBE level of DFT.

Lattice parameters (Å, degrees): 6.820 6.820 6.174 90.00 90.00 90.00
Atoms (fractional coordinates):
K  0.000  0.000  0.000
Ba  0.000  0.500  0.500
Ba  0.500  0.000  0.500
Na  0.500  0.500  0.000
Cd  0.500  0.500  0.500

Output
**SG**: P4/mmm, No. 123
**Total magnetic moment**: 0.00 μB per cell
**DOS at the Fermi energy**: 5.216 states/eV/cell
**Energy of formation**: 0.012 eV/atom
**Energy above the most stable polymorph in this dataset**: 0 meV per atom
**DFT total energy**: -1.424 eV/atom

Computed, not measured: a relaxed structure of Ho2Sb2O at the PBE level of DFT.

Lattice parameters (Å, degrees): 6.894 6.894 10.965 121.24 121.24 34.34
Atoms (fractional coordinates):
Ho  0.029  0.029  0.193
Ho  0.198  0.198  0.585
Ho  0.802  0.802  0.415
Ho  0.971  0.971  0.807
Sb  0.368  0.368  0.938
Sb  0.453  0.453  0.344
Sb  0.547  0.547  0.656
Sb  0.632  0.632  0.062
O  0.211  0.211  0.391
O  0.789  0.789  0.609

Output
**SG**: C2/m, No. 12
**Total magnetic moment**: 0.00 μB per cell
**E_form (uncorrected)**: -1743 meV/atom
**DOS at the Fermi energy**: 2.266 states/eV/cell
**DFT total energy**: -6.215 eV/atom

Computed, not measured: a relaxed structure of MoSe3 at the PBE level of DFT.

Lattice parameters (Å, degrees): 4.740 4.740 3.211 90.00 90.00 90.00
Atoms (fractional coordinates):
Mo  0.000  0.000  0.000
Se  0.000  0.500  0.500
Se  0.500  0.000  0.500
Se  0.500  0.500  0.000

Output
**SG**: P4/mmm, No. 123
**Total magnetic moment**: 1.05 μB per cell
**E_form (uncorrected)**: 595 meV/atom
**DOS at the Fermi energy**: 3.551 states/eV/cell
**DFT total energy**: -4.726 eV/atom

Computed, not measured: a relaxed structure of Tb2CeSm3 at the PBE level of DFT.

Lattice parameters (Å, degrees): 6.962 16.218 3.508 90.00 90.00 90.00
Atoms (fractional coordinates):
Tb  0.248  0.154  0.000
Tb  0.252  0.654  0.500
Tb  0.748  0.346  0.500
Tb  0.752  0.846  0.000
Ce  0.000  0.000  0.500
Ce  0.500  0.500  0.000
Sm  0.000  0.500  0.000
Sm  0.248  0.844  0.000
Sm  0.252  0.344  0.500
Sm  0.500  0.000  0.500
Sm  0.748  0.656  0.500
Sm  0.752  0.156  0.000

Output
**SG**: Pnnm, No. 58
**Total magnetic moment**: 0.94 μB per cell
**DOS at the Fermi energy**: 21.307 states/eV/cell
**Energy of formation**: 0.169 eV/atom
**DFT total energy**: -4.723 eV/atom

Computed, not measured: a relaxed structure of Ba3TlAs3 at the PBE level of DFT.

Lattice parameters (Å, degrees): 10.969 10.969 13.662 90.00 90.00 38.01
Atoms (fractional coordinates):
Ba  0.010  0.636  0.131
Ba  0.136  0.510  0.631
Ba  0.179  0.821  0.854
Ba  0.321  0.679  0.354
Ba  0.364  0.990  0.131
Ba  0.490  0.864  0.631
Ba  0.510  0.136  0.369
Ba  0.636  0.010  0.869
Ba  0.679  0.321  0.646
Ba  0.821  0.179  0.146
Ba  0.864  0.490  0.369
Ba  0.990  0.364  0.869
Tl  0.089  0.089  0.500
Tl  0.411  0.411  0.000
Tl  0.589  0.589  0.000
Tl  0.911  0.911  0.500
As  0.059  0.618  0.376
As  0.118  0.559  0.876
As  0.216  0.784  0.608
As  0.284  0.716  0.108
As  0.382  0.941  0.376
As  0.441  0.882  0.876
As  0.559  0.118  0.124
As  0.618  0.059  0.624
As  0.716  0.284  0.892
As  0.784  0.216  0.392
As  0.882  0.441  0.124
As  0.941  0.382  0.624

Output
**SG**: Cmce, No. 64
**Total magnetic moment**: 0.00 μB per cell
**DOS at the Fermi energy**: 0.389 states/eV/cell
**Energy of formation**: -0.860 eV/atom
**DFT total energy**: -4.015 eV/atom

Computed, not measured: a relaxed structure of PuV2Ru3 at the PBE level of DFT.

Lattice parameters (Å, degrees): 2.992 2.992 10.366 90.00 90.00 90.00
Atoms (fractional coordinates):
Pu  0.000  0.000  0.000
V  0.000  0.000  0.348
V  0.000  0.000  0.652
Ru  0.500  0.500  0.214
Ru  0.500  0.500  0.500
Ru  0.500  0.500  0.786

Output
**SG**: P4/mmm, No. 123
**Total magnetic moment**: 4.32 μB per cell
**DOS at the Fermi energy**: 8.600 states/eV/cell
**Energy of formation**: -0.217 eV/atom
**DFT total energy**: -10.283 eV/atom